Entry 1:
Cd3AgS: relaxed, GGA-PBE.

DFT total energy, eV per atom: -1.529
DOS at the Fermi energy, states/eV/atom: 0.639

Cell and atoms, written as POSCAR:
```
Cd3AgS
1.0
-4.940 -1.604 -0.514
-0.268 -0.824 5.147
-1.663 4.898 0.697
Ag Cd S
1 3 1
Direct
0.000 0.000 0.000 Ag
0.500 0.000 0.000 Cd
0.000 0.500 0.000 Cd
0.000 0.000 0.500 Cd
0.500 0.500 0.500 S
```

***

Entry 2:
Cd2Ag2S: relaxed, GGA-PBE.

DFT total energy, eV per atom: -2.247
DOS at the Fermi energy, states/eV/atom: 0.358

Cell and atoms, written as POSCAR:
```
Cd2Ag2S
1.0
-2.531 -4.477 -4.738
6.038 0.304 -3.513
1.488 -3.249 2.276
S Cd Ag
2 4 4
Direct
0.000 0.000 0.000 S
0.500 0.500 0.000 S
0.154 0.654 0.500 Cd
0.346 0.154 0.500 Cd
0.846 0.346 0.500 Cd
0.654 0.846 0.500 Cd
0.855 0.645 0.000 Ag
0.145 0.355 0.000 Ag
0.645 0.145 0.000 Ag
0.355 0.855 0.000 Ag
```

***

Which formula does entry 1 have?
Cd3AgS